Record 1
ZrSeCl | PBEsol | relaxed

POSCAR file:
```
ZrSeCl
1.0
4.444 0.000 0.000
2.222 3.848 0.000
2.222 1.283 3.628
Se Zr Cl
1 1 1
Direct
0.000 0.000 0.000
0.500 0.500 0.500
0.250 0.250 0.250
```

## Properties
E ... -5.318 eV/atom
ΔE_f (raw) ... -335 meV per atom
SG ... F-43m, No. 216
Total moment ... 0.231 μB/atom


Record 2
ZrSe4Cl6 | PBEsol | relaxed

POSCAR file:
```
ZrSe4Cl6
1.0
10.849 0.000 0.000
0.000 10.849 0.000
0.000 0.000 10.501
Cl Se Zr
24 16 4
Direct
0.386 0.886 0.633
0.614 0.114 0.633
0.614 0.886 0.133
0.386 0.114 0.133
0.114 0.386 0.367
0.886 0.614 0.367
0.886 0.386 0.867
0.114 0.614 0.867
0.194 0.921 0.896
0.806 0.079 0.896
0.579 0.694 0.396
0.421 0.306 0.396
0.306 0.421 0.104
0.694 0.579 0.104
0.921 0.194 0.604
0.079 0.806 0.604
0.306 0.579 0.604
0.694 0.421 0.604
0.921 0.806 0.104
0.079 0.194 0.104
0.194 0.079 0.396
0.806 0.921 0.396
0.579 0.306 0.896
0.421 0.694 0.896
0.342 0.842 0.332
0.658 0.158 0.332
0.658 0.842 0.832
0.342 0.158 0.832
0.158 0.342 0.668
0.842 0.658 0.668
0.842 0.342 0.168
0.158 0.658 0.168
0.356 0.644 0.250
0.644 0.356 0.250
0.856 0.856 0.750
0.144 0.144 0.750
0.144 0.856 0.250
0.856 0.144 0.250
0.644 0.644 0.750
0.356 0.356 0.750
0.250 0.750 0.750
0.750 0.250 0.750
0.750 0.750 0.250
0.250 0.250 0.250
```

## Properties
E ... -4.227 eV/atom
ΔE_f (raw) ... -906 meV per atom
SG ... P4_2/ncm, No. 138
Total moment ... 0.000 μB/atom


Record 3
SiCl2 | PBEsol | relaxed

POSCAR file:
```
SiCl2
1.0
3.981 0.000 0.000
0.000 6.869 0.000
0.000 0.000 13.183
Si Cl
4 8
Direct
0.479 0.340 0.511
0.021 0.660 0.011
0.521 0.840 0.989
0.979 0.160 0.489
0.480 0.563 0.407
0.020 0.437 0.907
0.520 0.063 0.093
0.980 0.937 0.593
0.479 0.449 0.656
0.021 0.551 0.156
0.521 0.949 0.844
0.979 0.051 0.344
```

## Properties
E ... -4.208 eV/atom
ΔE_f (raw) ... -954 meV per atom
SG ... P2_12_12_1, No. 19
Total moment ... 0.000 μB/atom


Record 4
SiCl2 | PBEsol | relaxed

POSCAR file:
```
SiCl2
1.0
3.769 0.000 0.000
-1.884 3.264 0.000
0.000 0.000 6.058
Si Cl
1 2
Direct
0.000 0.000 0.000
0.333 0.667 0.237
0.667 0.333 0.763
```

## Properties
E ... -3.734 eV/atom
ΔE_f (raw) ... -480 meV per atom
SG ... P-3m1, No. 164
Total moment ... 0.000 μB/atom


Record 5
Si2Cl | PBEsol | relaxed

POSCAR file:
```
Si2Cl
1.0
-1.237 1.959 3.048
2.959 -2.405 0.343
2.991 3.530 -1.055
Si Cl
2 1
Direct
0.333 0.667 0.428
0.667 0.333 0.572
0.000 0.000 0.000
```

## Properties
E ... -4.327 eV/atom
ΔE_f (raw) ... 173 meV per atom
SG ... P-3m1, No. 164
Total moment ... 0.000 μB/atom


Record 6
SiCl3 | PBEsol | relaxed

POSCAR file:
```
SiCl3
1.0
5.308 0.000 0.000
0.000 5.308 0.000
0.000 0.000 5.308
Cl Si
6 2
Direct
0.750 0.500 0.000
0.250 0.500 0.000
0.000 0.750 0.500
0.000 0.250 0.500
0.500 0.000 0.250
0.500 0.000 0.750
0.000 0.000 0.000
0.500 0.500 0.500
```

## Properties
E ... -2.927 eV/atom
ΔE_f (raw) ... 15 meV per atom
SG ... Pm-3n, No. 223
Total moment ... 0.000 μB/atom